Entry from Alexandria: a geometry-optimized BaLiRuO3 structure (PBE).

Cell: 5.386 5.816 5.850 Å, 119.81 90.00 90.00°
Each line ends with the local moment (μB).
Sites, in units of the cell vectors:
Ru  0.250  0.479  0.958  0.24
Ru  0.750  0.521  0.042  0.24
O  0.750  0.724  0.447  0.02
O  0.500  0.231  0.000  0.02
O  0.500  0.769  0.000  0.02
O  0.000  0.769  0.000  0.02
Ba  0.250  0.789  0.579  0.01
O  0.250  0.276  0.553  0.02
Li  0.750  0.921  0.842  0.00
Li  0.250  0.079  0.158  0.00
O  0.000  0.231  0.000  0.02
Ba  0.750  0.211  0.421  0.01

Results
The uncorrected formation energy comes out at -876.2 kJ/mol of formula units. The total DFT energy (no corrections) is -6.18 eV per atom.

Entry from Alexandria: a geometry-optimized Ba3LiRu2O9 structure (PBE).

Cell: 5.863 5.863 14.403 Å, 90.00 90.00 120.00°
Each line ends with the local moment (μB).
Sites, in units of the cell vectors:
O  0.174  0.348  0.086  0.20
Ba  0.333  0.667  0.911  0.02
Ba  0.000  0.000  0.750  0.01
O  0.483  0.967  0.250  0.05
Ba  0.333  0.667  0.589  0.02
Ba  0.000  0.000  0.250  0.01
O  0.967  0.483  0.750  0.05
Ru  0.333  0.667  0.152  1.54
Ru  0.333  0.667  0.348  1.54
O  0.517  0.483  0.750  0.05
Ba  0.667  0.333  0.411  0.02
O  0.652  0.826  0.414  0.20
O  0.348  0.174  0.914  0.20
O  0.652  0.826  0.086  0.20
O  0.348  0.174  0.586  0.20
Ru  0.667  0.333  0.652  1.54
O  0.483  0.517  0.250  0.05
O  0.174  0.826  0.414  0.20
O  0.033  0.517  0.250  0.05
O  0.826  0.652  0.914  0.20
O  0.826  0.174  0.914  0.20
O  0.826  0.174  0.586  0.20
O  0.826  0.652  0.586  0.20
Ru  0.667  0.333  0.848  1.54
O  0.174  0.348  0.414  0.20
Li  0.000  0.000  0.000  0.00
Ba  0.667  0.333  0.089  0.02
Li  0.000  0.000  0.500  0.00
O  0.174  0.826  0.086  0.20
O  0.517  0.033  0.750  0.05

Results
The uncorrected formation energy comes out at -2715.6 kJ/mol of formula units. The total DFT energy (no corrections) is -6.60 eV per atom.

Entry from Alexandria: a geometry-optimized BaLiS2O8 structure (PBE).

Cell: 5.260 5.260 7.477 Å, 90.00 90.00 120.00°
Each line ends with the local moment (μB).
Sites, in units of the cell vectors:
O  0.820  0.179  0.318  0.14
O  0.333  0.667  0.946  0.06
O  0.358  0.180  0.318  0.14
Li  0.000  0.000  0.500  0.00
O  0.180  0.821  0.682  0.14
O  0.667  0.333  0.054  0.06
O  0.821  0.642  0.318  0.14
S  0.333  0.667  0.745  -0.01
Ba  0.000  0.000  0.000  0.00
O  0.642  0.820  0.682  0.14
O  0.179  0.358  0.682  0.14
S  0.667  0.333  0.255  -0.01

Results
The uncorrected formation energy comes out at -2086.1 kJ/mol of formula units. The total DFT energy (no corrections) is -6.11 eV per atom.

Entry from Alexandria: a geometry-optimized BaLiSO4 structure (PBE).

Cell: 5.491 5.491 5.491 Å, 60.00 60.00 60.00°
Each line ends with the local moment (μB).
Sites, in units of the cell vectors:
O  0.361  0.361  0.361  0.01
O  0.361  0.361  0.918  0.01
Ba  0.750  0.750  0.750  0.19
Li  0.500  0.500  0.500  0.00
O  0.918  0.361  0.361  0.01
O  0.361  0.918  0.361  0.01
S  0.250  0.250  0.250  0.00

Results
The uncorrected formation energy comes out at -1158.5 kJ/mol of formula units. The total DFT energy (no corrections) is -5.69 eV per atom.

Entry from Alexandria: a geometry-optimized BaLiS2O6 structure (PBE).

Cell: 5.380 5.380 6.514 Å, 65.61 65.61 60.00°
Each line ends with the local moment (μB).
Sites, in units of the cell vectors:
O  0.646  0.056  0.737  0.09
Li  0.500  0.500  0.500  0.00
O  0.944  0.439  0.263  0.09
O  0.354  0.944  0.263  0.09
O  0.561  0.646  0.737  0.09
S  0.785  0.785  0.644  0.09
Ba  0.000  0.000  0.000  0.01
S  0.215  0.215  0.356  0.09
O  0.056  0.561  0.737  0.09
O  0.439  0.354  0.263  0.09

Results
The uncorrected formation energy comes out at -1713.1 kJ/mol of formula units. The total DFT energy (no corrections) is -5.96 eV per atom.

Entry from Alexandria: a geometry-optimized BaLi2SO structure (PBE).

Cell: 4.314 4.314 5.384 Å, 90.00 90.00 90.00°
Sites, in units of the cell vectors:
O  0.000  0.000  0.000
Li  0.000  0.500  0.000
Li  0.500  0.000  0.000
Ba  0.000  0.000  0.500
S  0.500  0.500  0.500

Results
The uncorrected formation energy comes out at -791.6 kJ/mol of formula units. The total DFT energy (no corrections) is -4.61 eV per atom.

Entry from Alexandria: a geometry-optimized Ba3Li2SbO6 structure (PBE).

Cell: 5.929 5.929 7.042 Å, 90.00 90.00 120.00°
Sites, in units of the cell vectors:
Ba  0.000  0.000  0.000
O  0.319  0.160  0.672
Sb  0.000  0.000  0.500
Ba  0.333  0.667  0.644
O  0.160  0.319  0.328
O  0.840  0.681  0.672
Ba  0.667  0.333  0.356
O  0.160  0.840  0.328
Li  0.333  0.667  0.236
O  0.681  0.840  0.328
Li  0.667  0.333  0.764
O  0.840  0.160  0.672

Results
The uncorrected formation energy comes out at -2422.5 kJ/mol of formula units. The total DFT energy (no corrections) is -5.71 eV per atom.

Entry from Alexandria: a geometry-optimized Ba2Li2SbO6 structure (PBE).

Cell: 5.913 5.913 6.280 Å, 61.92 61.92 60.00°
Each line ends with the local moment (μB).
Sites, in units of the cell vectors:
O  0.233  0.233  0.770  0.15
O  0.236  0.767  0.230  0.15
Ba  0.769  0.769  0.692  -0.01
Li  0.576  0.576  0.271  0.00
Li  0.424  0.424  0.729  0.00
O  0.764  0.233  0.770  0.15
O  0.767  0.767  0.230  0.15
Ba  0.231  0.231  0.308  -0.01
O  0.767  0.236  0.230  0.15
Sb  0.000  0.000  0.000  -0.01
O  0.233  0.764  0.770  0.15

Results
The uncorrected formation energy comes out at -2125.0 kJ/mol of formula units. The total DFT energy (no corrections) is -5.78 eV per atom.

Entry from Alexandria: a geometry-optimized Ba2LiSbO6 structure (PBE).

Cell: 5.169 5.816 5.816 Å, 120.00 90.00 90.00°
Each line ends with the local moment (μB).
Sites, in units of the cell vectors:
Ba  0.789  0.667  0.333  -0.01
O  0.264  0.842  0.685  0.29
Ba  0.211  0.333  0.667  -0.01
Sb  0.500  0.000  0.000  -0.03
O  0.736  0.685  0.842  0.29
O  0.264  0.315  0.158  0.29
O  0.736  0.158  0.842  0.29
O  0.736  0.158  0.315  0.29
Li  0.000  0.000  0.000  -0.01
O  0.264  0.842  0.158  0.29

Results
The uncorrected formation energy comes out at -1750.7 kJ/mol of formula units. The total DFT energy (no corrections) is -5.78 eV per atom.

Entry from Alexandria: a geometry-optimized BaLi2SbO structure (PBE).

Cell: 3.759 7.072 8.129 Å, 90.00 90.00 105.41°
Sites, in units of the cell vectors:
Sb  0.263  0.525  0.250
O  0.000  0.000  0.500
Ba  0.531  0.061  0.250
Li  0.862  0.723  0.462
Li  0.862  0.723  0.038
Ba  0.469  0.939  0.750
Sb  0.737  0.475  0.750
Li  0.138  0.277  0.538
Li  0.138  0.277  0.962
O  0.000  0.000  0.000

Results
The uncorrected formation energy comes out at -661.0 kJ/mol of formula units. The total DFT energy (no corrections) is -4.34 eV per atom.

Entry from Alexandria: a geometry-optimized Ba3LiSb2O6 structure (PBE).

Cell: 6.016 6.016 7.064 Å, 90.00 90.00 120.00°
Sites, in units of the cell vectors:
Ba  0.000  0.000  0.000
O  0.347  0.173  0.694
Ba  0.667  0.333  0.368
O  0.827  0.653  0.694
Sb  0.667  0.333  0.848
O  0.653  0.827  0.306
O  0.173  0.347  0.306
Li  0.000  0.000  0.500
O  0.827  0.173  0.694
O  0.173  0.827  0.306
Ba  0.333  0.667  0.632
Sb  0.333  0.667  0.152

Results
The uncorrected formation energy comes out at -2352.3 kJ/mol of formula units. The total DFT energy (no corrections) is -5.84 eV per atom.

Entry from Alexandria: a geometry-optimized Ba6Li2Ti7Sb9O42 structure (PBE).

Cell: 9.276 9.276 11.959 Å, 90.06 90.06 119.86°
Sites, in units of the cell vectors:
Ti  0.739  0.999  0.401
O  0.832  0.516  0.398
Sb  0.001  0.243  0.586
Li  0.999  0.999  0.793
O  0.515  0.684  0.898
O  0.205  0.205  0.573
O  0.836  0.317  0.902
O  0.685  0.513  0.606
Ti  0.739  0.739  0.902
O  0.516  0.832  0.398
O  0.798  0.001  0.250
O  0.207  0.207  0.248
Sb  0.667  0.334  0.000
O  0.486  0.171  0.605
Sb  0.666  0.333  0.500
O  0.995  0.203  0.072
O  0.513  0.685  0.606
O  0.796  0.000  0.572
O  0.002  0.202  0.754
O  0.795  0.795  0.073
Ba  0.003  0.402  0.249
Ba  0.001  0.596  0.752
Sb  0.333  0.666  0.500
O  0.686  0.169  0.397
Ba  0.403  0.403  0.753
Sb  0.757  0.002  0.084
Sb  0.243  0.001  0.586
O  0.001  0.798  0.250
O  0.000  0.796  0.572
O  0.169  0.686  0.397
O  0.684  0.515  0.898
Sb  0.755  0.755  0.584
O  0.171  0.489  0.895
O  0.314  0.484  0.396
Ti  0.264  0.008  0.908
O  0.001  0.197  0.419
Ti  0.008  0.264  0.908
Ba  0.596  0.001  0.752
O  0.827  0.514  0.107
Sb  0.334  0.667  0.000
O  0.679  0.168  0.106
O  0.997  0.800  0.919
O  0.489  0.171  0.895
O  0.202  0.002  0.754
Ba  0.402  0.003  0.249
O  0.203  0.995  0.072
O  0.514  0.827  0.107
O  0.168  0.679  0.106
O  0.313  0.828  0.606
Ti  0.999  0.739  0.401
O  0.317  0.836  0.902
O  0.171  0.486  0.605
Li  0.003  0.003  0.284
O  0.205  0.205  0.929
O  0.800  0.800  0.418
O  0.797  0.797  0.751
Ba  0.592  0.592  0.247
O  0.310  0.478  0.100
Ti  0.253  0.253  0.085
O  0.828  0.313  0.606
O  0.484  0.314  0.396
Sb  0.002  0.757  0.084
O  0.800  0.997  0.919
Ti  0.259  0.259  0.398
O  0.197  0.001  0.419
O  0.478  0.310  0.100

Results
The uncorrected formation energy comes out at -14510.8 kJ/mol of formula units. The total DFT energy (no corrections) is -7.07 eV per atom.